The following is a PBE-GGA calculation of crystalline La2Fe3CuNi12 at its relaxed geometry, from Alexandria via LeMat-Bulk.

Output
Crystal system   trigonal
Symmetry   R-3m
Total magnetic moment   11.715 μB per formula unit
ΔE_f   0.14 eV per atom

```
18
Lattice="-5.336 1.066 -3.176 -0.445 -5.764 -2.505 -3.865 -2.336 4.393" Properties=species:S:1:pos:R:3 pbc="T T T"
La -6.929 -5.052 -0.925
La -2.718 -1.982 -0.363
Fe -2.668 0.533 -1.588
Fe -0.223 -2.882 -1.252
Fe -1.933 -1.168 2.196
Cu 0.000 0.000 0.000
Ni -5.713 -3.958 1.355
Ni -5.683 -4.401 -3.375
Ni -4.899 -6.214 0.659
Ni -6.348 -2.490 -1.910
Ni -7.506 -2.573 0.302
Ni -4.238 -5.437 -1.621
Ni -3.933 -3.076 -2.642
Ni -3.964 -2.633 2.088
Ni -4.748 -0.820 -1.947
Ni -3.299 -4.544 0.622
Ni -2.141 -4.460 -1.589
Ni -5.408 -1.597 0.333
```